# 1
The following is a DFT calculation (PBE) of crystalline BeF at its relaxed geometry. Values from VASP.

The structure in Quantum ESPRESSO input format:
```
&SYSTEM
  ibrav = 0, nat = 12, ntyp = 2
/
ATOMIC_SPECIES
Be 9.01 Be.upf
F 19.00 F.upf
ATOMIC_POSITIONS crystal
Be 0.2418 0.4836 0.2500
Be 0.2418 0.7582 0.2500
Be 0.4836 0.2418 0.7500
Be 0.5164 0.7582 0.2500
Be 0.7582 0.2418 0.7500
Be 0.7582 0.5164 0.7500
F 0.1806 0.3611 0.7500
F 0.1806 0.8194 0.7500
F 0.3611 0.1806 0.2500
F 0.6389 0.8194 0.7500
F 0.8194 0.1806 0.2500
F 0.8194 0.6389 0.2500
CELL_PARAMETERS angstrom
8.3367 0.0000 0.0000
-4.1683 7.2198 0.0000
0.0000 0.0000 2.5558
```

Computed properties:
Total DFT energy (no corrections)   -4.6606 eV/atom
Distance to the lowest polymorph of the same formula   0.145 eV per atom
Symmetry   P6_3/mmc



# 2
The following is a DFT calculation (PBE) of crystalline DyY2ErP4 at its relaxed geometry. Values from VASP.

The structure in Quantum ESPRESSO input format:
```
&SYSTEM
  ibrav = 0, nat = 8, ntyp = 4
/
ATOMIC_SPECIES
Dy 162.50 Dy.upf
Y 88.91 Y.upf
Er 167.26 Er.upf
P 30.97 P.upf
ATOMIC_POSITIONS crystal
Dy 0.0000 0.0000 0.0000
Y 0.0000 0.5000 0.5000
Y 0.5000 0.0000 0.5000
Er 0.5000 0.5000 0.0000
P 0.2506 0.5000 0.2485
P 0.2518 0.0000 0.7522
P 0.7482 0.0000 0.2478
P 0.7494 0.5000 0.7515
CELL_PARAMETERS angstrom
6.9287 0.0000 0.0000
0.0000 4.0019 0.0000
-2.3089 0.0000 6.5333
```

Computed properties:
Total DFT energy (no corrections)   -7.0878 eV/atom
Energy of formation   -1.62 eV per atom
Symmetry   P2/m



# 3
The following is a DFT calculation (PBE) of crystalline GdTmZnTc at its relaxed geometry. Values from VASP.

The structure in Quantum ESPRESSO input format:
```
&SYSTEM
  ibrav = 0, nat = 16, ntyp = 4
/
ATOMIC_SPECIES
Gd 157.25 Gd.upf
Tm 168.93 Tm.upf
Zn 65.41 Zn.upf
Tc 98.00 Tc.upf
ATOMIC_POSITIONS crystal
Gd 0.0000 0.0000 0.0000
Gd 0.0000 0.5000 0.5000
Gd 0.5000 0.0000 0.5000
Gd 0.5000 0.5000 0.0000
Tm 0.0000 0.0000 0.5000
Tm 0.0000 0.5000 0.0000
Tm 0.5000 0.0000 0.0000
Tm 0.5000 0.5000 0.5000
Zn 0.2500 0.2500 0.7500
Zn 0.2500 0.7500 0.2500
Zn 0.7500 0.2500 0.2500
Zn 0.7500 0.7500 0.7500
Tc 0.2500 0.2500 0.2500
Tc 0.2500 0.7500 0.7500
Tc 0.7500 0.2500 0.7500
Tc 0.7500 0.7500 0.2500
CELL_PARAMETERS angstrom
6.9495 0.0000 0.0000
0.0000 6.9495 0.0000
0.0000 0.0000 6.9495
```

Computed properties:
Total DFT energy (no corrections)   -7.6984 eV/atom
Energy of formation   -0.15 eV per atom
Symmetry   F-43m



# 4
The following is a DFT calculation (PBE) of crystalline Sc2AlPt at its relaxed geometry. Values from VASP.

The structure in Quantum ESPRESSO input format:
```
&SYSTEM
  ibrav = 0, nat = 12, ntyp = 3
/
ATOMIC_SPECIES
Sc 44.96 Sc.upf
Al 26.98 Al.upf
Pt 195.08 Pt.upf
ATOMIC_POSITIONS crystal
Sc 0.0000 0.0000 0.0000
Sc 0.0000 0.0000 0.2281
Sc 0.3333 0.6667 0.6667
Sc 0.3333 0.6667 0.8947
Sc 0.6667 0.3333 0.3333
Sc 0.6667 0.3333 0.5614
Al 0.0000 0.0000 0.4726
Al 0.3333 0.6667 0.1393
Al 0.6667 0.3333 0.8059
Pt 0.0000 0.0000 0.7427
Pt 0.3333 0.6667 0.4094
Pt 0.6667 0.3333 0.0760
CELL_PARAMETERS angstrom
3.3611 0.0000 0.0000
-1.6805 2.9108 0.0000
0.0000 0.0000 25.6702
```

Computed properties:
Total DFT energy (no corrections)   -6.0205 eV/atom
Energy of formation   -0.41 eV per atom
Symmetry   R3m



# 5
The following is a DFT calculation (PBE) of crystalline Ti2Hg2Os at its relaxed geometry. Values from VASP.

The structure in Quantum ESPRESSO input format:
```
&SYSTEM
  ibrav = 0, nat = 10, ntyp = 3
/
ATOMIC_SPECIES
Ti 47.87 Ti.upf
Hg 200.59 Hg.upf
Os 190.23 Os.upf
ATOMIC_POSITIONS crystal
Ti 0.0000 0.0000 0.0809
Ti 0.0000 0.0000 0.9191
Ti 0.5000 0.5000 0.4191
Ti 0.5000 0.5000 0.5809
Hg 0.0000 0.5000 0.2500
Hg 0.0000 0.5000 0.7500
Hg 0.5000 0.0000 0.2500
Hg 0.5000 0.0000 0.7500
Os 0.0000 0.0000 0.5000
Os 0.5000 0.5000 0.0000
CELL_PARAMETERS angstrom
3.7169 0.0000 0.0000
0.0000 3.7169 0.0000
0.0000 0.0000 14.7347
```

Computed properties:
Total DFT energy (no corrections)   -4.8964 eV/atom
Distance to the lowest polymorph of the same formula   0.312 eV per atom
Energy of formation   0.63 eV per atom
Symmetry   I4/mmm



# 6
The following is a DFT calculation (PBE) of crystalline Be2InFe at its relaxed geometry. Values from VASP.

The structure in Quantum ESPRESSO input format:
```
&SYSTEM
  ibrav = 0, nat = 4, ntyp = 3
/
ATOMIC_SPECIES
Be 9.01 Be.upf
In 114.82 In.upf
Fe 55.84 Fe.upf
ATOMIC_POSITIONS crystal
Be 0.0000 0.0000 0.0000
Be 0.1124 0.5000 0.2217
In 0.3610 0.5000 0.7200
Fe 0.6862 0.0000 0.3727
CELL_PARAMETERS angstrom
2.7032 0.0000 0.0000
0.0000 3.7006 0.0000
-1.3362 0.0000 5.0102
```

Computed properties:
Total DFT energy (no corrections)   -4.3715 eV/atom
Energy of formation   0.29 eV per atom
Symmetry   Pm